Record 1
A relaxed CaHgSe crystal. Source: Alexandria, functional GGA-PBE.

relative energy among the computed polymorphs	0.33	eV per formula unit
raw total energy	-2.919	eV/atom
SG	F-43m (216)
volume	89.6	Å³ per cell

Cell: 5.022 5.022 5.022 Å, 60.00 60.00 60.00°
Atoms (fractional coordinates):
Ca 0.250 0.250 0.250
Hg 0.000 0.000 0.000
Se 0.500 0.500 0.500

Record 2
A relaxed Ce5Bi4C crystal. Source: Alexandria, functional GGA-PBE.

raw total energy	-5.981	eV/atom
SG	I4 (79)
energy of formation from the pure elements	-0.539	eV per atom
volume	308.5	Å³ per cell

Cell: 6.431 7.636 7.636 Å, 79.79 65.10 65.10°
Atoms (fractional coordinates):
Ce 0.908 0.345 0.840
Ce 0.253 0.840 0.655
Ce 0.748 0.160 0.345
Ce 0.093 0.655 0.160
Ce 0.433 0.000 0.000
Bi 0.422 0.391 0.771
Bi 0.813 0.771 0.609
Bi 0.193 0.229 0.391
Bi 0.584 0.609 0.229
C 0.063 0.000 0.000

Q: Which formula does entry 2 have?
A: Ce5Bi4C

Q: Among the records above, which one has the highest raw total energy?
A: CaHgSe

Q: What is the volume in the second record?
A: 308.5 Å³ per cell